DFT (PBE) results for PaMnOs after structural relaxation.

It has space group Imma (No. 74), with a = 4.961 Å, b = 5.559 Å, c = 7.452 Å, α = 90.00°, β = 90.00° and γ = 90.00°. The inequivalent atoms are Pa at (0.000, 0.250, 0.128), Mn at (0.250, 0.250, 0.750) and Os at (0.000, 0.000, 0.500).

For the excess energy over the best structure of this formula in the dataset, the calculation gives 0 meV per atom. As for the spin magnetization: 0.685 μB/atom. The energy of formation from the pure elements is -0.27 eV per atom. The density of states at the Fermi level is 4.4 states/eV/f.u.